{
  "formula": "CdBi2Pb4",
  "functional": "PBE",
  "state": "optimized geometry",
  "polymorph_energy_ev_per_fu": 0.439,
  "formation_enthalpy_0k_mev_per_atom": 107.6,
  "total_magnetization_mub_per_fu": 0.0,
  "sg": "I4/mmm",
  "cell": [[5.707, 0.000, -1.724], [-0.521, 5.683, -1.724], [-0.737, -0.808, 7.864]],
  "species": ["Pb", "Pb", "Pb", "Pb", "Bi", "Bi", "Cd"],
  "fractional_positions": [[0.500, 0.000, 0.000], [0.750, 0.250, 0.500], [0.000, 0.500, 0.000], [0.250, 0.750, 0.500], [0.357, 0.357, 0.714], [0.643, 0.643, 0.286], [0.000, 0.000, 0.000]]
}